## NaY3Pb12 (PBE)

Data for NaY3Pb12 after structural relaxation.

The structure in CIF format:
```
data_NaY3Pb12
_symmetry_space_group_name_H-M 'P 1'
_symmetry_Int_Tables_number 1
_symmetry_space_group_name_Hall 'P 1'
_cell_length_a 4.8558
_cell_length_b 4.8558
_cell_length_c 19.8591
_cell_angle_alpha 90.00
_cell_angle_beta 90.00
_cell_angle_gamma 90.00
loop_
_atom_site_label
_atom_site_fract_x
_atom_site_fract_y
_atom_site_fract_z
Na1 0.0000 0.0000 0.0000
Y1 0.0000 0.0000 0.2549
Y2 0.0000 0.0000 0.5000
Y3 0.0000 0.0000 0.7451
Pb1 0.0000 0.5000 0.1250
Pb2 0.0000 0.5000 0.3757
Pb3 0.0000 0.5000 0.6243
Pb4 0.0000 0.5000 0.8750
Pb5 0.5000 0.0000 0.1250
Pb6 0.5000 0.0000 0.3757
Pb7 0.5000 0.0000 0.6243
Pb8 0.5000 0.0000 0.8750
Pb9 0.5000 0.5000 0.0000
Pb10 0.5000 0.5000 0.2493
Pb11 0.5000 0.5000 0.5000
Pb12 0.5000 0.5000 0.7507
```

**Formation energy from the elements**: -0.25 eV/atom
**Symmetry**: P4/mmm
**DOS at the Fermi energy**: 0.47 states/eV per atom
**Magnetization**: 0.0 μB per cell
**Crystal system**: tetragonal
**ρ**: 9.84 Mg/m³
**DFT total energy**: -4.327 eV per atom